VASP calculation (PBE-GGA) on an optimized crystal structure of BaRhCl. Values from VASP.

Values from the calculation:
- Size of the total moment: 0.89 μB per cell
- N(E_F): 3.37 states/eV/cell
- Distance to the lowest polymorph of the same formula: 0.170 eV per atom
- V: 32.885 Å³ per atom

Geometry as Quantum ESPRESSO input:
```
&SYSTEM
  ibrav = 0, nat = 6, ntyp = 3
/
ATOMIC_SPECIES
Ba 137.33 Ba.upf
Rh 102.91 Rh.upf
Cl 35.45 Cl.upf
CELL_PARAMETERS angstrom
5.517 -2.133 0.000
5.517 2.133 0.000
-2.636 0.000 8.384
ATOMIC_POSITIONS crystal
Ba 0.000 0.000 0.000
Ba 0.229 0.229 0.552
Rh 0.559 0.559 0.724
Rh 0.969 0.969 0.624
Cl 0.282 0.282 0.947
Cl 0.637 0.637 0.263
```

VASP calculation (PBE-GGA) on an optimized crystal structure of BaRhCl. Values from VASP.

Values from the calculation:
- Size of the total moment: 0.00 μB per cell
- N(E_F): 2.12 states/eV/cell
- Distance to the lowest polymorph of the same formula: 0.162 eV per atom
- V: 30.176 Å³ per atom

Geometry as Quantum ESPRESSO input:
```
&SYSTEM
  ibrav = 0, nat = 6, ntyp = 3
/
ATOMIC_SPECIES
Ba 137.33 Ba.upf
Rh 102.91 Rh.upf
Cl 35.45 Cl.upf
CELL_PARAMETERS angstrom
4.633 0.000 0.000
-2.316 5.972 0.000
-0.007 -0.484 6.543
ATOMIC_POSITIONS crystal
Ba 0.000 0.000 0.000
Ba 0.281 0.559 0.487
Rh 0.001 0.998 0.521
Rh 0.553 0.102 0.482
Cl 0.321 0.643 0.968
Cl 0.660 0.318 0.193
```

| no. | ΔE_f (raw) (eV per atom) |
| --- | --- |
| 1 | -0.97 |
| 2 | -0.98 |